Compound: MnBePIrF
Source: Alexandria
Functional: GGA+U
Structure: relaxed

Lattice parameters (Å, degrees): 2.634 2.802 10.240 90.00 93.86 90.00
Element x y z (fractional)
Mn 0.225 0.000 0.468
F 0.447 0.000 0.010
Be 0.981 0.000 0.100
Ir 0.727 0.500 0.273
P 0.763 0.500 0.657

Properties
For the raw total energy, the calculation gives -6.1649 eV per atom. The value obtained for the calculated density is 6.7 g cm⁻³. For the offset from the most stable computed form, the calculation gives 5.316 kcal/mol of atoms. Its space group is No. 6.